1.
First-principles (PBE) data for a geometry-optimized RbSrAl2Br structure, as listed in Alexandria.

Size of the total moment, μB per formula unit: 0.0
Space-group type: P4/mmm, No. 123
Uncorrected formation energy, eV per atom: 0.1748

a = 5.878 Å, b = 5.805 Å, c = 5.878 Å
α = 90.00°, β = 90.00°, γ = 90.00°
Positions (direct):
Br (0.000, 0.000, 0.000)
Rb (0.500, 0.500, 0.500)
Al (0.000, 0.000, 0.500)
Al (0.500, 0.000, 0.000)
Sr (0.000, 0.500, 0.000)

***

2.
First-principles (PBE) data for a geometry-optimized Dy3Si6PdPt2 structure, as listed in Alexandria.

Size of the total moment, μB per formula unit: 0.0
Space-group type: P-3m1, No. 164
Uncorrected formation energy, eV per atom: -0.5724

a = 5.240 Å, b = 5.240 Å, c = 9.387 Å
α = 90.00°, β = 90.00°, γ = 120.00°
Positions (direct):
Dy (0.333, 0.667, 0.578)
Dy (0.000, 0.000, 0.000)
Dy (0.667, 0.333, 0.422)
Si (0.332, 0.166, 0.721)
Si (0.834, 0.668, 0.721)
Si (0.166, 0.834, 0.279)
Si (0.668, 0.834, 0.279)
Si (0.834, 0.166, 0.721)
Si (0.166, 0.332, 0.279)
Pd (0.000, 0.000, 0.500)
Pt (0.333, 0.667, 0.073)
Pt (0.667, 0.333, 0.927)

***

3.
First-principles (PBE) data for a geometry-optimized LiPr2S structure, as listed in Alexandria.

Size of the total moment, μB per formula unit: 0.2
Space-group type: R3m, No. 160
Uncorrected formation energy, eV per atom: -0.8247

a = 3.963 Å, b = 3.963 Å, c = 8.970 Å
α = 77.24°, β = 77.24°, γ = 60.00°
Positions (direct):
Li (0.500, 0.500, 0.499)
S (0.667, 0.667, 0.999)
Pr (0.064, 0.064, 0.808)
Pr (0.269, 0.269, 0.193)

***

4.
First-principles (PBE) data for a geometry-optimized Dy4CoBi2 structure, as listed in Alexandria.

Size of the total moment, μB per formula unit: 0.0
Calculated formation energy, kJ/mol of atoms: -47.1
Space-group type: I4/mmm, No. 139
Energy above the most stable polymorph in this dataset, kJ per mole of atoms: 0.00

a = 4.959 Å, b = 4.959 Å, c = 8.961 Å
α = 106.06°, β = 106.06°, γ = 90.00°
Positions (direct):
Dy (0.166, 0.166, 0.332)
Dy (0.834, 0.834, 0.668)
Dy (0.500, 0.000, 0.000)
Dy (0.000, 0.500, 0.000)
Bi (0.642, 0.642, 0.284)
Bi (0.358, 0.358, 0.716)
Co (0.000, 0.000, 0.000)